# 1
The following is a DFT calculation (GGA-PBE) of a relaxed Cu4MoPb crystal.

Values from the calculation:
- E_form (meV per atom) = 419
- SG = F-43m (216)

a = 5.0472 Å, b = 5.0472 Å, c = 5.0472 Å
α = 60.00°, β = 60.00°, γ = 60.00°
Last column: nearest neighbours and their distance in Å.
Element x y z (fractional)
Cu: 0.8718 0.3761 0.3761  6 Cu 2.50-2.55
Cu: 0.3761 0.3761 0.8718  6 Cu 2.50-2.55
Cu: 0.3761 0.8718 0.3761  6 Cu 2.50-2.55
Cu: 0.3761 0.3761 0.3761  6 Cu 2.50-2.55
Mo: 0.7500 0.7500 0.7500  12 Cu 2.96, 4 Pb 3.09
Pb: 0.0000 0.0000 0.0000  12 Cu 2.96, 4 Mo 3.09



# 2
The following is a DFT calculation (GGA-PBE) of a relaxed AcHoGa2Pd5 crystal.

Values from the calculation:
- E_form (meV per atom) = -751
- SG = P4/mmm (123)

a = 4.3348 Å, b = 4.3348 Å, c = 9.2885 Å
α = 90.00°, β = 90.00°, γ = 90.00°
Last column: nearest neighbours and their distance in Å.
Element x y z (fractional)
Ac: 0.0000 0.0000 0.5000  12 Pd 3.07-3.08
Ho: 0.0000 0.0000 0.0000  8 Pd 3.27, 8 Ga 3.30
Ga: 0.5000 0.5000 0.1324  1 Ga 2.46, 4 Pd 2.49
Ga: 0.5000 0.5000 0.8676  1 Ga 2.46, 4 Pd 2.49
Pd: 0.0000 0.5000 0.2638  2 Ga 2.49
Pd: 0.5000 0.0000 0.2638  2 Ga 2.49
Pd: 0.0000 0.5000 0.7362  2 Ga 2.49
Pd: 0.5000 0.0000 0.7362  2 Ga 2.49
Pd: 0.5000 0.5000 0.5000  4 Ac 3.07, 8 Pd 3.08, 2 Ga 3.41



no.,calculated volume (Å³/cell)
1,91
2,175